# Sm4B (PBE-GGA, relaxed)
data_Sm4B
_cell_length_a 5.2883
_cell_length_b 5.2883
_cell_length_c 5.2883
_cell_angle_alpha 90.00
_cell_angle_beta 90.00
_cell_angle_gamma 90.00
_symmetry_space_group_name_H-M 'P m -3 m'
_symmetry_Int_Tables_number 221
_symmetry_space_group_name_Hall '-P 4 2 3'
loop_
_atom_site_label
_atom_site_fract_x
_atom_site_fract_y
_atom_site_fract_z
Sm1 0.0000 0.0000 0.0000
Sm2 0.0000 0.5000 0.5000
B1 0.5000 0.5000 0.5000
# Size of the total moment: 0.00 μB/atom

=====

# Sm4Sn2B (PBE-GGA, relaxed)
data_Sm4Sn2B
_cell_length_a 4.9619
_cell_length_b 4.9619
_cell_length_c 16.5473
_cell_angle_alpha 90.00
_cell_angle_beta 90.00
_cell_angle_gamma 90.00
_symmetry_space_group_name_H-M 'I 4/m m m'
_symmetry_Int_Tables_number 139
_symmetry_space_group_name_Hall '-I 4 2'
loop_
_atom_site_label
_atom_site_fract_x
_atom_site_fract_y
_atom_site_fract_z
Sm1 0.0000 0.0000 0.1673
Sm2 0.0000 0.5000 0.0000
Sn1 0.0000 0.0000 0.3621
B1 0.0000 0.0000 0.0000
# Size of the total moment: 0.00 μB/atom

=====

# SrSmB12 (PBE-GGA, relaxed)
data_SrSmB12
_cell_length_a 8.3079
_cell_length_b 8.3079
_cell_length_c 8.3079
_cell_angle_alpha 90.00
_cell_angle_beta 90.00
_cell_angle_gamma 90.00
_symmetry_space_group_name_H-M 'F m -3 m'
_symmetry_Int_Tables_number 225
_symmetry_space_group_name_Hall '-F 4 2 3'
loop_
_atom_site_label
_atom_site_fract_x
_atom_site_fract_y
_atom_site_fract_z
Sr1 0.0000 0.0000 0.0000
Sm1 0.0000 0.0000 0.5000
B1 0.1004 0.2500 0.2500
# Size of the total moment: 0.00 μB/atom

=====

# SrSmB12 (PBE-GGA, relaxed)
data_SrSmB12
_cell_length_a 4.1539
_cell_length_b 4.1539
_cell_length_c 8.3140
_cell_angle_alpha 90.00
_cell_angle_beta 90.00
_cell_angle_gamma 90.00
_symmetry_space_group_name_H-M 'P 4/m m m'
_symmetry_Int_Tables_number 123
_symmetry_space_group_name_Hall '-P 4 2'
loop_
_atom_site_label
_atom_site_fract_x
_atom_site_fract_y
_atom_site_fract_z
Sr1 0.0000 0.0000 0.0000
Sm1 0.0000 0.0000 0.5000
B1 0.2009 0.5000 0.2526
B2 0.5000 0.5000 0.1018
B3 0.5000 0.5000 0.4010
# Size of the total moment: 0.00 μB/atom

=====

# SmTa2B6 (PBE-GGA, relaxed)
data_SmTa2B6
_cell_length_a 5.5009
_cell_length_b 5.5009
_cell_length_c 3.5294
_cell_angle_alpha 90.00
_cell_angle_beta 90.00
_cell_angle_gamma 120.00
_symmetry_space_group_name_H-M 'P 6/m m m'
_symmetry_Int_Tables_number 191
_symmetry_space_group_name_Hall '-P 6 2'
loop_
_atom_site_label
_atom_site_fract_x
_atom_site_fract_y
_atom_site_fract_z
Sm1 0.0000 0.0000 0.0000
Ta1 0.3333 0.6667 0.0000
B1 0.0000 0.3415 0.5000
# Size of the total moment: 0.00 μB/atom

=====

# SmTaB4 (PBE-GGA, relaxed)
data_SmTaB4
_cell_length_a 6.2105
_cell_length_b 12.0229
_cell_length_c 3.6460
_cell_angle_alpha 90.00
_cell_angle_beta 90.00
_cell_angle_gamma 90.00
_symmetry_space_group_name_H-M 'P b a m'
_symmetry_Int_Tables_number 55
_symmetry_space_group_name_Hall '-P 2 2ab'
loop_
_atom_site_label
_atom_site_fract_x
_atom_site_fract_y
_atom_site_fract_z
Sm1 0.1257 0.1511 0.0000
Ta1 0.1334 0.4136 0.0000
B1 0.0238 0.6927 0.5000
B2 0.1147 0.5474 0.5000
B3 0.1335 0.9682 0.5000
B4 0.2088 0.8120 0.5000
# Size of the total moment: 0.00 μB/atom

=====

no.,D(E_F) (states/eV/cell),ΔH_f (0 K) (eV per atom)
1,7.17,0.12
2,10.74,-0.46
3,14.03,-0.46
4,1.19,-0.46
5,1.63,-0.56
6,4.06,-0.58